Entry from the Alexandria database: crystalline TaCdOs at its relaxed geometry (PBE).

Geometry as POSCAR:
```
TaCdOs
1.0
-1.547 1.547 5.659
1.547 -1.547 5.659
1.547 1.547 -5.659
Ta Cd Os
1 1 1
Direct
0.000 0.000 0.000 Ta
0.695 0.695 0.000 Cd
0.371 0.371 0.000 Os
```

Calculated values
magnetization = 0.002 μB per formula unit
E_tot = -7.833 eV/atom
calculated density = 14.82 g/cm3
crystal system = tetragonal
relative energy among the computed polymorphs = 0.000 eV/atom
formation enthalpy at 0 K = 0.17 eV/atom